Entry 1:
# GGA-PBE P3Ru, optimized geometry
data_P3Ru
_chemical_formula_sum 'P3 Ru1'
_cell_length_a 4.405
_cell_length_b 4.405
_cell_length_c 4.405
_cell_angle_alpha 125.63
_cell_angle_beta 125.63
_cell_angle_gamma 80.50
_space_group_name_H-M_alt 'P 1'
_space_group_IT_number 1
loop_
_space_group_symop_operation_xyz
'x,y,z'
loop_
_atom_site_label
_atom_site_fract_x
_atom_site_fract_y
_atom_site_fract_z
_atom_site_occupancy
P1 0.000 0.000 0.000 1
P2 0.250 0.750 0.500 1
P3 0.750 0.250 0.500 1
Ru1 0.500 0.500 0.000 1
# **ΔE to the lowest computed polymorph**: 923 meV/atom
# **ΔE_f**: 400 meV per atom
# **Crystal system**: tetragonal
# **Magnetic moment**: 0.00 μB/cell
# **V**: 13.617 Å³/atom


Entry 2:
# GGA-PBE PRu5, optimized geometry
data_PRu5
_chemical_formula_sum 'P1 Ru5'
_cell_length_a 4.952
_cell_length_b 4.952
_cell_length_c 6.534
_cell_angle_alpha 110.34
_cell_angle_beta 110.34
_cell_angle_gamma 33.12
_space_group_name_H-M_alt 'P 1'
_space_group_IT_number 1
loop_
_space_group_symop_operation_xyz
'x,y,z'
loop_
_atom_site_label
_atom_site_fract_x
_atom_site_fract_y
_atom_site_fract_z
_atom_site_occupancy
P1 0.000 0.000 0.000 1
Ru1 0.000 0.000 0.500 1
Ru2 0.325 0.325 0.685 1
Ru3 0.363 0.363 0.137 1
Ru4 0.637 0.637 0.863 1
Ru5 0.675 0.675 0.315 1
# **ΔE to the lowest computed polymorph**: 0 meV/atom
# **ΔE_f**: -48 meV per atom
# **Crystal system**: monoclinic
# **Magnetic moment**: 0.00 μB/cell
# **V**: 13.600 Å³/atom


Entry 3:
# GGA-PBE PRu2, optimized geometry
data_PRu2
_chemical_formula_sum 'P1 Ru2'
_cell_length_a 3.626
_cell_length_b 3.626
_cell_length_c 3.987
_cell_angle_alpha 90.00
_cell_angle_beta 90.00
_cell_angle_gamma 120.00
_space_group_name_H-M_alt 'P 1'
_space_group_IT_number 1
loop_
_space_group_symop_operation_xyz
'x,y,z'
loop_
_atom_site_label
_atom_site_fract_x
_atom_site_fract_y
_atom_site_fract_z
_atom_site_occupancy
P1 0.000 0.000 0.000 1
Ru1 0.333 0.667 0.234 1
Ru2 0.667 0.333 0.766 1
# **ΔE_f**: 5 meV per atom
# **Crystal system**: trigonal
# **Magnetic moment**: 0.00 μB/cell
# **V**: 15.130 Å³/atom


Entry 4:
# GGA-PBE P3Ru5, optimized geometry
data_P3Ru5
_chemical_formula_sum 'P6 Ru10'
_cell_length_a 5.508
_cell_length_b 6.827
_cell_length_c 6.861
_cell_angle_alpha 81.15
_cell_angle_beta 66.99
_cell_angle_gamma 67.57
_space_group_name_H-M_alt 'P 1'
_space_group_IT_number 1
loop_
_space_group_symop_operation_xyz
'x,y,z'
loop_
_atom_site_label
_atom_site_fract_x
_atom_site_fract_y
_atom_site_fract_z
_atom_site_occupancy
P1 0.000 0.000 0.000 1
P2 0.040 0.520 0.790 1
P3 0.351 0.523 0.137 1
P4 0.467 0.055 0.988 1
P5 0.555 0.807 0.482 1
P6 0.845 0.170 0.497 1
Ru1 0.083 0.857 0.701 1
Ru2 0.223 0.876 0.256 1
Ru3 0.363 0.179 0.686 1
Ru4 0.484 0.506 0.429 1
Ru5 0.551 0.122 0.268 1
Ru6 0.580 0.750 0.822 1
Ru7 0.718 0.290 0.853 1
Ru8 0.885 0.700 0.129 1
Ru9 0.985 0.465 0.477 1
Ru10 0.998 0.288 0.119 1
# **ΔE to the lowest computed polymorph**: 0 meV/atom
# **ΔE_f**: -349 meV per atom
# **Crystal system**: triclinic
# **Magnetic moment**: 0.00 μB/cell
# **V**: 13.719 Å³/atom


Entry 5:
# GGA-PBE P5Ru4, optimized geometry
data_P5Ru4
_chemical_formula_sum 'P10 Ru8'
_cell_length_a 7.366
_cell_length_b 7.366
_cell_length_c 5.204
_cell_angle_alpha 90.00
_cell_angle_beta 90.00
_cell_angle_gamma 120.00
_space_group_name_H-M_alt 'P 1'
_space_group_IT_number 1
loop_
_space_group_symop_operation_xyz
'x,y,z'
loop_
_atom_site_label
_atom_site_fract_x
_atom_site_fract_y
_atom_site_fract_z
_atom_site_occupancy
P1 0.000 0.293 0.250 1
P2 0.000 0.707 0.750 1
P3 0.293 0.000 0.250 1
P4 0.293 0.293 0.750 1
P5 0.333 0.667 0.000 1
P6 0.333 0.667 0.500 1
P7 0.667 0.333 0.000 1
P8 0.667 0.333 0.500 1
P9 0.707 0.000 0.750 1
P10 0.707 0.707 0.250 1
Ru1 0.000 0.000 0.000 1
Ru2 0.000 0.000 0.500 1
Ru3 0.000 0.359 0.750 1
Ru4 0.000 0.641 0.250 1
Ru5 0.359 0.000 0.750 1
Ru6 0.359 0.359 0.250 1
Ru7 0.641 0.000 0.250 1
Ru8 0.641 0.641 0.750 1
# **ΔE_f**: 85 meV per atom
# **Crystal system**: hexagonal
# **Magnetic moment**: 0.01 μB/cell
# **V**: 13.583 Å³/atom


Entry 6:
# GGA-PBE PRu2, optimized geometry
data_PRu2
_chemical_formula_sum 'P2 Ru4'
_cell_length_a 5.427
_cell_length_b 5.427
_cell_length_c 5.513
_cell_angle_alpha 98.34
_cell_angle_beta 98.34
_cell_angle_gamma 30.26
_space_group_name_H-M_alt 'P 1'
_space_group_IT_number 1
loop_
_space_group_symop_operation_xyz
'x,y,z'
loop_
_atom_site_label
_atom_site_fract_x
_atom_site_fract_y
_atom_site_fract_z
_atom_site_occupancy
P1 0.000 0.000 0.000 1
P2 0.704 0.704 0.431 1
Ru1 0.058 0.058 0.605 1
Ru2 0.334 0.334 0.710 1
Ru3 0.395 0.395 0.239 1
Ru4 0.691 0.691 0.006 1
# **ΔE_f**: -272 meV per atom
# **Crystal system**: monoclinic
# **Magnetic moment**: 0.00 μB/cell
# **V**: 13.480 Å³/atom


Entry 7:
# GGA-PBE P2Ru3, optimized geometry
data_P2Ru3
_chemical_formula_sum 'P2 Ru3'
_cell_length_a 3.827
_cell_length_b 3.827
_cell_length_c 5.529
_cell_angle_alpha 90.00
_cell_angle_beta 90.00
_cell_angle_gamma 120.00
_space_group_name_H-M_alt 'P 1'
_space_group_IT_number 1
loop_
_space_group_symop_operation_xyz
'x,y,z'
loop_
_atom_site_label
_atom_site_fract_x
_atom_site_fract_y
_atom_site_fract_z
_atom_site_occupancy
P1 0.333 0.667 0.269 1
P2 0.667 0.333 0.731 1
Ru1 0.000 0.000 0.500 1
Ru2 0.333 0.667 0.836 1
Ru3 0.667 0.333 0.164 1
# **ΔE_f**: -496 meV per atom
# **Crystal system**: trigonal
# **Magnetic moment**: 0.00 μB/cell
# **V**: 14.024 Å³/atom


Entry 8:
# GGA-PBE P3Ru, optimized geometry
data_P3Ru
_chemical_formula_sum 'P3 Ru1'
_cell_length_a 3.130
_cell_length_b 3.130
_cell_length_c 6.122
_cell_angle_alpha 90.00
_cell_angle_beta 90.00
_cell_angle_gamma 90.00
_space_group_name_H-M_alt 'P 1'
_space_group_IT_number 1
loop_
_space_group_symop_operation_xyz
'x,y,z'
loop_
_atom_site_label
_atom_site_fract_x
_atom_site_fract_y
_atom_site_fract_z
_atom_site_occupancy
P1 0.000 0.000 0.000 1
P2 0.000 0.000 0.359 1
P3 0.500 0.500 0.896 1
Ru1 0.500 0.500 0.512 1
# **ΔE to the lowest computed polymorph**: 453 meV/atom
# **ΔE_f**: -71 meV per atom
# **Crystal system**: tetragonal
# **Magnetic moment**: 0.00 μB/cell
# **V**: 14.997 Å³/atom


Entry 9:
# GGA-PBE P2Ru, optimized geometry
data_P2Ru
_chemical_formula_sum 'P2 Ru1'
_cell_length_a 4.442
_cell_length_b 4.442
_cell_length_c 4.442
_cell_angle_alpha 138.77
_cell_angle_beta 133.86
_cell_angle_gamma 63.58
_space_group_name_H-M_alt 'P 1'
_space_group_IT_number 1
loop_
_space_group_symop_operation_xyz
'x,y,z'
loop_
_atom_site_label
_atom_site_fract_x
_atom_site_fract_y
_atom_site_fract_z
_atom_site_occupancy
P1 0.164 0.164 0.000 1
P2 0.836 0.836 0.000 1
Ru1 0.500 0.500 0.000 1
# **ΔE_f**: 165 meV per atom
# **Crystal system**: orthorhombic
# **Magnetic moment**: 0.00 μB/cell
# **V**: 13.709 Å³/atom


Entry 10:
# GGA-PBE P3Ru, optimized geometry
data_P3Ru
_chemical_formula_sum 'P3 Ru1'
_cell_length_a 3.224
_cell_length_b 3.224
_cell_length_c 7.009
_cell_angle_alpha 90.00
_cell_angle_beta 90.00
_cell_angle_gamma 120.00
_space_group_name_H-M_alt 'P 1'
_space_group_IT_number 1
loop_
_space_group_symop_operation_xyz
'x,y,z'
loop_
_atom_site_label
_atom_site_fract_x
_atom_site_fract_y
_atom_site_fract_z
_atom_site_occupancy
P1 0.000 0.000 0.000 1
P2 0.333 0.667 0.469 1
P3 0.667 0.333 0.293 1
Ru1 0.333 0.667 0.806 1
# **ΔE to the lowest computed polymorph**: 447 meV/atom
# **ΔE_f**: -77 meV per atom
# **Crystal system**: trigonal
# **Magnetic moment**: 0.00 μB/cell
# **V**: 15.778 Å³/atom


Entry 11:
# GGA-PBE P2Ru, optimized geometry
data_P2Ru
_chemical_formula_sum 'P2 Ru1'
_cell_length_a 4.391
_cell_length_b 4.391
_cell_length_c 4.391
_cell_angle_alpha 141.21
_cell_angle_beta 108.52
_cell_angle_gamma 84.43
_space_group_name_H-M_alt 'P 1'
_space_group_IT_number 1
loop_
_space_group_symop_operation_xyz
'x,y,z'
loop_
_atom_site_label
_atom_site_fract_x
_atom_site_fract_y
_atom_site_fract_z
_atom_site_occupancy
P1 0.211 0.000 0.211 1
P2 0.789 0.000 0.789 1
Ru1 0.330 0.330 0.000 1
# **ΔE_f**: -284 meV per atom
# **Crystal system**: orthorhombic
# **Magnetic moment**: 0.00 μB/cell
# **V**: 16.222 Å³/atom


Entry 12:
# GGA-PBE PRu4, optimized geometry
data_PRu4
_chemical_formula_sum 'P1 Ru4'
_cell_length_a 6.958
_cell_length_b 6.958
_cell_length_c 6.958
_cell_angle_alpha 151.49
_cell_angle_beta 151.49
_cell_angle_gamma 40.76
_space_group_name_H-M_alt 'P 1'
_space_group_IT_number 1
loop_
_space_group_symop_operation_xyz
'x,y,z'
loop_
_atom_site_label
_atom_site_fract_x
_atom_site_fract_y
_atom_site_fract_z
_atom_site_occupancy
P1 0.000 0.000 0.000 1
Ru1 0.250 0.750 0.500 1
Ru2 0.404 0.404 0.000 1
Ru3 0.596 0.596 0.000 1
Ru4 0.750 0.250 0.500 1
# **ΔE to the lowest computed polymorph**: 0 meV/atom
# **ΔE_f**: 536 meV per atom
# **Crystal system**: tetragonal
# **Magnetic moment**: 0.00 μB/cell
# **V**: 15.319 Å³/atom


Entry 13:
# GGA-PBE P3Ru, optimized geometry
data_P3Ru
_chemical_formula_sum 'P3 Ru1'
_cell_length_a 4.047
_cell_length_b 4.047
_cell_length_c 5.516
_cell_angle_alpha 107.63
_cell_angle_beta 107.63
_cell_angle_gamma 45.95
_space_group_name_H-M_alt 'P 1'
_space_group_IT_number 1
loop_
_space_group_symop_operation_xyz
'x,y,z'
loop_
_atom_site_label
_atom_site_fract_x
_atom_site_fract_y
_atom_site_fract_z
_atom_site_occupancy
P1 0.000 0.000 0.000 1
P2 0.338 0.338 0.711 1
P3 0.662 0.662 0.289 1
Ru1 0.000 0.000 0.500 1
# **ΔE to the lowest computed polymorph**: 497 meV/atom
# **ΔE_f**: -26 meV per atom
# **Crystal system**: monoclinic
# **Magnetic moment**: 0.00 μB/cell
# **V**: 15.326 Å³/atom


Entry 14:
# GGA-PBE P2Ru, optimized geometry
data_P2Ru
_chemical_formula_sum 'P2 Ru1'
_cell_length_a 4.756
_cell_length_b 3.496
_cell_length_c 3.496
_cell_angle_alpha 59.87
_cell_angle_beta 90.00
_cell_angle_gamma 90.00
_space_group_name_H-M_alt 'P 1'
_space_group_IT_number 1
loop_
_space_group_symop_operation_xyz
'x,y,z'
loop_
_atom_site_label
_atom_site_fract_x
_atom_site_fract_y
_atom_site_fract_z
_atom_site_occupancy
P1 0.236 0.000 0.000 1
P2 0.764 0.000 0.000 1
Ru1 0.500 0.333 0.333 1
# **ΔE_f**: -241 meV per atom
# **Crystal system**: orthorhombic
# **Magnetic moment**: 0.00 μB/cell
# **V**: 16.759 Å³/atom